DFT (PBE) results for a relaxed MgTc2Au crystal.

Output
* distance to the lowest polymorph of the same formula: 0.386 eV/atom
* crystal system: tetragonal

a = 2.6782 Å, b = 2.6782 Å, c = 8.9468 Å
α = 90.00°, β = 90.00°, γ = 90.00°
Positions (direct):
Mg  0.0000  0.0000  0.0000
Tc  0.5000  0.5000  0.2485
Tc  0.5000  0.5000  0.7515
Au  0.0000  0.0000  0.5000

DFT (PBE) results for a relaxed MgTc2Au crystal.

Output
* distance to the lowest polymorph of the same formula: 0.821 eV/atom
* crystal system: tetragonal

a = 5.9178 Å, b = 5.9178 Å, c = 5.9178 Å
α = 100.40°, β = 100.40°, γ = 129.71°
Positions (direct):
Mg  0.0000  0.0000  0.0000
Mg  0.7500  0.2500  0.5000
Tc  0.1418  0.6250  0.0168
Tc  0.3750  0.3918  0.5168
Tc  0.6082  0.1250  0.9832
Tc  0.8750  0.8582  0.4832
Au  0.2500  0.7500  0.5000
Au  0.5000  0.5000  0.0000

DFT (PBE) results for a relaxed MgTcAu2 crystal.

Output
* distance to the lowest polymorph of the same formula: 0.136 eV/atom
* crystal system: tetragonal

a = 4.9930 Å, b = 4.9930 Å, c = 4.9930 Å
α = 131.16°, β = 131.16°, γ = 71.56°
Positions (direct):
Mg  0.0000  0.0000  0.0000
Tc  0.2500  0.7500  0.5000
Au  0.5000  0.5000  0.0000
Au  0.7500  0.2500  0.5000

DFT (PBE) results for a relaxed MgTc2Au crystal.

Output
* distance to the lowest polymorph of the same formula: 0.091 eV/atom
* crystal system: orthorhombic

a = 2.8744 Å, b = 3.8310 Å, c = 5.8828 Å
α = 90.00°, β = 90.00°, γ = 90.00°
Positions (direct):
Mg  0.0000  0.0000  0.0000
Tc  0.0000  0.0000  0.4710
Tc  0.5000  0.5000  0.2911
Au  0.5000  0.5000  0.7728

DFT (PBE) results for a relaxed Mg2Tc4Au crystal.

Output
* crystal system: tetragonal

a = 7.7479 Å, b = 7.7479 Å, c = 7.7479 Å
α = 143.26°, β = 143.26°, γ = 52.93°
Positions (direct):
Mg  0.1145  0.1145  0.0000
Mg  0.8855  0.8855  0.0000
Tc  0.0000  0.5000  0.5000
Tc  0.3160  0.3160  0.0000
Tc  0.5000  0.0000  0.5000
Tc  0.6840  0.6840  0.0000
Au  0.5000  0.5000  0.0000

DFT (PBE) results for a relaxed MgTcAu2 crystal.

Output
* distance to the lowest polymorph of the same formula: 0.155 eV/atom
* crystal system: trigonal

a = 9.4879 Å, b = 9.4879 Å, c = 9.4879 Å
α = 17.59°, β = 17.59°, γ = 17.59°
Positions (direct):
Mg  0.0000  0.0000  0.0000
Tc  0.2522  0.2522  0.2522
Au  0.5047  0.5047  0.5047
Au  0.7489  0.7489  0.7489

DFT (PBE) results for a relaxed MgTcAu2 crystal.

Output
* distance to the lowest polymorph of the same formula: 0.089 eV/atom
* crystal system: cubic

a = 4.6262 Å, b = 4.6262 Å, c = 4.6262 Å
α = 60.00°, β = 60.00°, γ = 60.00°
Positions (direct):
Mg  0.0000  0.0000  0.0000
Tc  0.5000  0.5000  0.5000
Au  0.2500  0.2500  0.2500
Au  0.7500  0.7500  0.7500

DFT (PBE) results for a relaxed MgTcAu2 crystal.

Output
* distance to the lowest polymorph of the same formula: 0.126 eV/atom
* crystal system: trigonal

a = 9.3742 Å, b = 9.3742 Å, c = 9.3742 Å
α = 17.84°, β = 17.84°, γ = 17.84°
Positions (direct):
Mg  0.0000  0.0000  0.0000
Tc  0.5000  0.5000  0.5000
Au  0.2500  0.2500  0.2500
Au  0.7500  0.7500  0.7500

DFT (PBE) results for a relaxed MgTcAu2 crystal.

Output
* distance to the lowest polymorph of the same formula: 0.000 eV/atom
* crystal system: orthorhombic

a = 5.0562 Å, b = 5.0562 Å, c = 2.7740 Å
α = 90.00°, β = 90.00°, γ = 109.56°
Positions (direct):
Mg  0.0000  0.0000  0.0000
Tc  0.5000  0.5000  0.0000
Au  0.0000  0.5000  0.5000
Au  0.5000  0.0000  0.5000

DFT (PBE) results for a relaxed MgTc2Au crystal.

Output
* distance to the lowest polymorph of the same formula: 0.308 eV/atom
* crystal system: orthorhombic

a = 5.1433 Å, b = 5.1433 Å, c = 2.7600 Å
α = 90.00°, β = 90.00°, γ = 119.12°
Positions (direct):
Mg  0.0000  0.0000  0.0000
Tc  0.0000  0.5000  0.5000
Tc  0.5000  0.0000  0.5000
Au  0.5000  0.5000  0.0000

DFT (PBE) results for a relaxed MgTcTe2Au crystal.

Output
* crystal system: tetragonal
* formation energy (no corrections): 436 meV per atom

a = 5.1532 Å, b = 5.1532 Å, c = 5.2643 Å
α = 90.00°, β = 90.00°, γ = 90.00°
Positions (direct):
Mg  0.0000  0.0000  0.0000
Tc  0.5000  0.5000  0.5000
Te  0.0000  0.5000  0.5000
Te  0.5000  0.0000  0.5000
Au  0.5000  0.5000  0.0000

DFT (PBE) results for a relaxed MgTcW2Au crystal.

Output
* crystal system: tetragonal

a = 4.5650 Å, b = 4.5650 Å, c = 4.4136 Å
α = 90.00°, β = 90.00°, γ = 90.00°
Positions (direct):
Mg  0.0000  0.0000  0.0000
Tc  0.0000  0.0000  0.5000
W  0.0000  0.5000  0.0000
W  0.5000  0.0000  0.0000
Au  0.5000  0.5000  0.5000

DFT (PBE) results for a relaxed YMgTc2Au crystal.

Output
* crystal system: tetragonal

a = 5.0373 Å, b = 5.0373 Å, c = 4.7050 Å
α = 90.00°, β = 90.00°, γ = 90.00°
Positions (direct):
Y  0.0000  0.0000  0.0000
Mg  0.5000  0.5000  0.0000
Tc  0.0000  0.5000  0.5000
Tc  0.5000  0.0000  0.5000
Au  0.5000  0.5000  0.5000

DFT (PBE) results for a relaxed MgTeAu crystal.

Output
* distance to the lowest polymorph of the same formula: 0.086 eV/atom
* crystal system: cubic
* formation energy (no corrections): -306 meV per atom

a = 4.7262 Å, b = 4.7262 Å, c = 4.7262 Å
α = 60.00°, β = 60.00°, γ = 60.00°
Positions (direct):
Mg  0.0000  0.0000  0.0000
Te  0.2500  0.2500  0.2500
Au  0.7500  0.7500  0.7500

DFT (PBE) results for a relaxed MgTe2Au2 crystal.

Output
* distance to the lowest polymorph of the same formula: 0.030 eV/atom
* crystal system: tetragonal
* formation energy (no corrections): -74 meV per atom

a = 7.8694 Å, b = 7.8694 Å, c = 4.0525 Å
α = 90.00°, β = 90.00°, γ = 90.00°
Positions (direct):
Mg  0.0000  0.0000  0.0000
Mg  0.5000  0.5000  0.0000
Te  0.1927  0.3073  0.0000
Te  0.3073  0.8073  0.0000
Te  0.6927  0.1927  0.0000
Te  0.8073  0.6927  0.0000
Au  0.1242  0.6242  0.5000
Au  0.3758  0.1242  0.5000
Au  0.6242  0.8758  0.5000
Au  0.8758  0.3758  0.5000

DFT (PBE) results for a relaxed MgTeAu crystal.

Output
* distance to the lowest polymorph of the same formula: 0.066 eV/atom
* crystal system: trigonal
* formation energy (no corrections): -325 meV per atom

a = 4.3688 Å, b = 4.3688 Å, c = 4.3340 Å
α = 90.00°, β = 90.00°, γ = 120.00°
Positions (direct):
Mg  0.0000  0.0000  0.0000
Te  0.6667  0.3333  0.3979
Au  0.3333  0.6667  0.7360

DFT (PBE) results for a relaxed MgTeAu2 crystal.

Output
* crystal system: tetragonal
* formation energy (no corrections): -158 meV per atom

a = 5.4465 Å, b = 5.4465 Å, c = 5.4465 Å
α = 133.59°, β = 133.59°, γ = 67.73°
Positions (direct):
Mg  0.0000  0.0000  0.0000
Te  0.2500  0.7500  0.5000
Au  0.5000  0.5000  0.0000
Au  0.7500  0.2500  0.5000

DFT (PBE) results for a relaxed MgTe3Au crystal.

Output
* distance to the lowest polymorph of the same formula: 0.000 eV/atom
* crystal system: cubic
* formation energy (no corrections): 323 meV per atom

a = 5.4612 Å, b = 5.4612 Å, c = 5.4612 Å
α = 90.00°, β = 90.00°, γ = 90.00°
Positions (direct):
Mg  0.0000  0.0000  0.0000
Te  0.0000  0.5000  0.5000
Te  0.5000  0.0000  0.5000
Te  0.5000  0.5000  0.0000
Au  0.5000  0.5000  0.5000

DFT (PBE) results for a relaxed MgTeAu4 crystal.

Output
* crystal system: cubic
* formation energy (no corrections): -140 meV per atom

a = 5.6086 Å, b = 5.6086 Å, c = 5.6086 Å
α = 60.00°, β = 60.00°, γ = 60.00°
Positions (direct):
Mg  0.0000  0.0000  0.0000
Te  0.7500  0.7500  0.7500
Au  0.3746  0.3746  0.3746
Au  0.3746  0.3746  0.8762
Au  0.3746  0.8762  0.3746
Au  0.8762  0.3746  0.3746

DFT (PBE) results for a relaxed MgTeAu2 crystal.

Output
* crystal system: cubic
* formation energy (no corrections): -122 meV per atom

a = 4.9284 Å, b = 4.9284 Å, c = 4.9284 Å
α = 60.00°, β = 60.00°, γ = 60.00°
Positions (direct):
Mg  0.0000  0.0000  0.0000
Te  0.5000  0.5000  0.5000
Au  0.2500  0.2500  0.2500
Au  0.7500  0.7500  0.7500

DFT (PBE) results for a relaxed MgTeAu crystal.

Output
* distance to the lowest polymorph of the same formula: 0.185 eV/atom
* crystal system: orthorhombic
* formation energy (no corrections): -206 meV per atom

a = 6.8550 Å, b = 6.7938 Å, c = 3.2856 Å
α = 77.11°, β = 75.04°, γ = 27.85°
Positions (direct):
Mg  0.0000  0.0000  0.0000
Te  0.6768  0.6768  0.3232
Au  0.3794  0.3794  0.6206

DFT (PBE) results for a relaxed MgTeAu2 crystal.

Output
* crystal system: orthorhombic
* formation energy (no corrections): -285 meV per atom

a = 4.2611 Å, b = 4.2611 Å, c = 4.9670 Å
α = 90.00°, β = 90.00°, γ = 93.32°
Positions (direct):
Mg  0.0000  0.0000  0.0000
Te  0.5000  0.5000  0.0000
Au  0.2345  0.2345  0.5000
Au  0.7655  0.7655  0.5000

DFT (PBE) results for a relaxed MgTeAu crystal.

Output
* distance to the lowest polymorph of the same formula: 0.000 eV/atom
* crystal system: trigonal
* formation energy (no corrections): -391 meV per atom

a = 9.8817 Å, b = 9.8817 Å, c = 9.8817 Å
α = 25.67°, β = 25.67°, γ = 25.67°
Positions (direct):
Mg  0.0693  0.0693  0.0693
Mg  0.9307  0.9307  0.9307
Te  0.2164  0.2164  0.2164
Te  0.7836  0.7836  0.7836
Au  0.3133  0.3133  0.3133
Au  0.6867  0.6867  0.6867

DFT (PBE) results for a relaxed MgTeAu2 crystal.

Output
* crystal system: tetragonal
* formation energy (no corrections): -222 meV per atom

a = 10.6154 Å, b = 10.6154 Å, c = 10.6154 Å
α = 157.39°, β = 157.39°, γ = 32.18°
Positions (direct):
Mg  0.0000  0.0000  0.0000
Mg  0.7500  0.2500  0.5000
Te  0.2500  0.7500  0.5000
Te  0.5000  0.5000  0.0000
Au  0.1096  0.6250  0.9846
Au  0.3750  0.3596  0.4846
Au  0.6404  0.1250  0.0154
Au  0.8750  0.8904  0.5154

DFT (PBE) results for a relaxed MgTeAu2 crystal.

Output
* crystal system: trigonal
* formation energy (no corrections): -197 meV per atom

a = 5.8628 Å, b = 5.8628 Å, c = 5.8628 Å
α = 44.62°, β = 44.62°, γ = 44.62°
Positions (direct):
Mg  0.0000  0.0000  0.0000
Te  0.7737  0.7737  0.7737
Au  0.2742  0.2742  0.2742
Au  0.5368  0.5368  0.5368

DFT (PBE) results for a relaxed MgTe2Au2 crystal.

Output
* distance to the lowest polymorph of the same formula: 0.000 eV/atom
* crystal system: tetragonal
* formation energy (no corrections): -104 meV per atom

a = 7.6149 Å, b = 7.6149 Å, c = 4.0545 Å
α = 90.00°, β = 90.00°, γ = 90.00°
Positions (direct):
Mg  0.0000  0.0000  0.0000
Mg  0.5000  0.5000  0.0000
Te  0.1865  0.3135  0.5000
Te  0.3135  0.8135  0.5000
Te  0.6865  0.1865  0.5000
Te  0.8135  0.6865  0.5000
Au  0.1293  0.6293  0.0000
Au  0.3707  0.1293  0.0000
Au  0.6293  0.8707  0.0000
Au  0.8707  0.3707  0.0000

DFT (PBE) results for a relaxed MgTeAu2 crystal.

Output
* crystal system: tetragonal
* formation energy (no corrections): -265 meV per atom

a = 3.8470 Å, b = 3.8470 Å, c = 5.7156 Å
α = 90.00°, β = 90.00°, γ = 90.00°
Positions (direct):
Mg  0.0000  0.0000  0.0000
Te  0.0000  0.0000  0.5000
Au  0.5000  0.5000  0.2373
Au  0.5000  0.5000  0.7627

DFT (PBE) results for a relaxed MgTeAu2 crystal.

Output
* crystal system: orthorhombic
* formation energy (no corrections): -220 meV per atom

a = 5.9957 Å, b = 5.9488 Å, c = 4.1238 Å
α = 70.42°, β = 69.19°, γ = 40.39°
Positions (direct):
Mg  0.0000  0.0000  0.0000
Te  0.5000  0.5000  0.5000
Au  0.0000  0.5000  0.0000
Au  0.5000  0.0000  0.5000

DFT (PBE) results for a relaxed MgTeAu2 crystal.

Output
* crystal system: trigonal
* formation energy (no corrections): -81 meV per atom

a = 9.9053 Å, b = 9.9053 Å, c = 9.9053 Å
α = 18.52°, β = 18.52°, γ = 18.52°
Positions (direct):
Mg  0.0000  0.0000  0.0000
Te  0.5000  0.5000  0.5000
Au  0.2631  0.2631  0.2631
Au  0.7369  0.7369  0.7369

| no. | final energy (eV/atom) |
| --- | --- |
| 1 | -6.057 |
| 2 | -5.622 |
| 3 | -4.510 |
| 4 | -6.352 |
| 5 | -4.950 |
| 6 | -4.492 |
| 7 | -4.558 |
| 8 | -4.521 |
| 9 | -4.647 |
| 10 | -6.135 |
| 11 | -3.869 |
| 12 | -5.951 |
| 13 | -5.405 |
| 14 | -2.977 |
| 15 | -2.961 |
| 16 | -2.997 |
| 17 | -2.980 |
| 18 | -2.536 |
| 19 | -3.114 |
| 20 | -2.945 |
| 21 | -2.877 |
| 22 | -3.107 |
| 23 | -3.063 |
| 24 | -3.045 |
| 25 | -3.020 |
| 26 | -2.991 |
| 27 | -3.088 |
| 28 | -3.043 |
| 29 | -2.903 |